Entry 1:
TbYCoRu: relaxed, GGA-PBE.

Results
- E_form (eV per atom) = -0.207
- energy above the lowest structure with this stoichiometry (meV/atom) = 24
- Fermi-level density of states (states/eV/atom) = 0.9979
- total magnetic moment (Bohr magnetons per cell) = 0.00

The structure in CIF format:
```
data_TbYCoRu
_chemical_formula_sum 'Tb4 Y4 Co4 Ru4'
_symmetry_space_group_name_H-M 'F -4 3 m'
_symmetry_Int_Tables_number 216
_symmetry_space_group_name_Hall 'F -4 2 3'
_cell_length_a 6.7709
_cell_length_b 6.7709
_cell_length_c 6.7709
_cell_angle_alpha 90.00
_cell_angle_beta 90.00
_cell_angle_gamma 90.00
loop_
_atom_site_label
_atom_site_type_symbol
_atom_site_fract_x
_atom_site_fract_y
_atom_site_fract_z
Tb1 Tb 0.0000 0.0000 0.0000
Y1 Y 0.0000 0.0000 0.5000
Co1 Co 0.2500 0.2500 0.2500
Ru1 Ru 0.2500 0.2500 0.7500
```

=====

Entry 2:
TlCr2W: relaxed, GGA-PBE.

Results
- E_form (eV per atom) = 0.856
- energy above the lowest structure with this stoichiometry (meV/atom) = 392
- Fermi-level density of states (states/eV/atom) = 0.7884
- total magnetic moment (Bohr magnetons per cell) = 9.59

The structure in CIF format:
```
data_TlCr2W
_chemical_formula_sum 'Tl4 Cr8 W4'
_symmetry_space_group_name_H-M 'F -4 3 m'
_symmetry_Int_Tables_number 216
_symmetry_space_group_name_Hall 'F -4 2 3'
_cell_length_a 6.3923
_cell_length_b 6.3923
_cell_length_c 6.3923
_cell_angle_alpha 90.00
_cell_angle_beta 90.00
_cell_angle_gamma 90.00
loop_
_atom_site_label
_atom_site_type_symbol
_atom_site_fract_x
_atom_site_fract_y
_atom_site_fract_z
Tl1 Tl 0.0000 0.0000 0.0000
Cr1 Cr 0.0000 0.0000 0.5000
Cr2 Cr 0.2500 0.2500 0.7500
W1 W 0.2500 0.2500 0.2500
```

=====

Entry 3:
BaTl2Co: relaxed, GGA-PBE.

Results
- E_form (eV per atom) = 0.373
- Fermi-level density of states (states/eV/atom) = 1.3327
- total magnetic moment (Bohr magnetons per cell) = 1.26

The structure in CIF format:
```
data_BaTl2Co
_chemical_formula_sum 'Ba1 Tl2 Co1'
_symmetry_space_group_name_H-M 'P 4/m m m'
_symmetry_Int_Tables_number 123
_symmetry_space_group_name_Hall '-P 4 2'
_cell_length_a 4.6681
_cell_length_b 4.6681
_cell_length_c 5.3295
_cell_angle_alpha 90.00
_cell_angle_beta 90.00
_cell_angle_gamma 90.00
loop_
_atom_site_label
_atom_site_type_symbol
_atom_site_fract_x
_atom_site_fract_y
_atom_site_fract_z
Ba1 Ba 0.0000 0.0000 0.0000
Tl1 Tl 0.0000 0.5000 0.5000
Co1 Co 0.5000 0.5000 0.0000
```

=====

Entry 4:
PaBIrRu2: relaxed, GGA-PBE.

Results
- E_form (eV per atom) = -0.625
- Fermi-level density of states (states/eV/atom) = 0.7405
- total magnetic moment (Bohr magnetons per cell) = 0.00

The structure in CIF format:
```
data_PaBIrRu2
_chemical_formula_sum 'Pa1 B1 Ir1 Ru2'
_symmetry_space_group_name_H-M 'P 4/m m m'
_symmetry_Int_Tables_number 123
_symmetry_space_group_name_Hall '-P 4 2'
_cell_length_a 4.2474
_cell_length_b 4.2474
_cell_length_c 4.1743
_cell_angle_alpha 90.00
_cell_angle_beta 90.00
_cell_angle_gamma 90.00
loop_
_atom_site_label
_atom_site_type_symbol
_atom_site_fract_x
_atom_site_fract_y
_atom_site_fract_z
Pa1 Pa 0.0000 0.0000 0.0000
B1 B 0.5000 0.5000 0.5000
Ir1 Ir 0.5000 0.5000 0.0000
Ru1 Ru 0.0000 0.5000 0.5000
```